TlCdAgF6 | PBE | optimized geometry

```
18
Lattice="-5.188 1.039 -0.281 -0.331 -2.854 -4.452 -2.104 -8.919 5.874" Properties=species:S:1:pos:R:3 pbc="T T T"
Ag -3.811 -5.364 0.569
Ag -2.103 -8.916 5.872
F -5.912 -7.086 3.679
F -2.295 -3.394 0.495
F -5.305 -7.366 0.697
F -5.861 -10.122 2.623
F -1.691 -3.707 -2.538
F -3.061 -9.371 1.231
F -4.574 -4.143 -1.459
F -4.598 -1.377 -0.041
F -3.849 -9.461 4.347
F -2.260 -6.569 -0.778
F -5.347 -4.095 1.873
F -3.089 -6.637 2.597
Tl -4.513 -8.341 2.529
Tl -0.701 -2.974 1.959
Cd -3.110 -2.393 -1.388
Cd -1.402 -5.945 3.915
```

Output
Formation energy without anion corrections = -15.94 eV per formula unit
Theoretical density = 5.9 g/cm3
Uncorrected energy = -3.700 eV/atom